LiPd2Pt2: optimized geometry, GGA-PBE.

Values from the calculation:
Theoretical density: 10.331 Mg/m³
Raw total energy: -23.27 eV/cell
DOS at the Fermi energy: 1.005 states/eV/atom

Cell lengths 4.801, 4.801, 5.442 Å; angles 116.17, 116.17, 90.00 degrees
Fractional positions:
Li (0.000, 0.000, 0.000)
Pt (0.356, 0.356, 0.712)
Pd (0.750, 0.250, 0.500)
Pd (0.250, 0.750, 0.500)
Pt (0.644, 0.644, 0.288)